(1)
## CsCa3Mg (PBE)

Data for crystalline CsCa3Mg at its relaxed geometry.

Output
The relative energy among the computed polymorphs comes out at 812.3 meV/atom. The value obtained for the volume is 41.4 A^3/atom. The formation energy comes out at 1.07 eV per atom.

The structure in CIF format:
```
data_CsCa3Mg
_chemical_formula_sum 'Cs1 Ca3 Mg1'
_symmetry_space_group_name_H-M 'P m -3 m'
_symmetry_Int_Tables_number 221
_symmetry_space_group_name_Hall '-P 4 2 3'
_cell_length_a 5.915
_cell_length_b 5.915
_cell_length_c 5.915
_cell_angle_alpha 90.00
_cell_angle_beta 90.00
_cell_angle_gamma 90.00
loop_
_atom_site_label
_atom_site_fract_x
_atom_site_fract_y
_atom_site_fract_z
_atom_site_occupancy
Cs1 0.000 0.000 0.000 1
Ca1 0.000 0.000 0.500 1
Mg1 0.500 0.500 0.500 1
```

(2)
## PrYSc2Tl4 (PBE)

Data for crystalline PrYSc2Tl4 at its relaxed geometry.

Output
The value obtained for the volume is 26.3 A^3/atom. The formation energy comes out at -0.30 eV per atom.

The structure in CIF format:
```
data_PrYSc2Tl4
_chemical_formula_sum 'Pr3 Y3 Sc6 Tl12'
_symmetry_space_group_name_H-M 'R -3 m'
_symmetry_Int_Tables_number 166
_symmetry_space_group_name_Hall '-R 3 2"'
_cell_length_a 5.2928
_cell_length_b 5.2928
_cell_length_c 26.0093
_cell_angle_alpha 90.00
_cell_angle_beta 90.00
_cell_angle_gamma 120.00
loop_
_atom_site_label
_atom_site_fract_x
_atom_site_fract_y
_atom_site_fract_z
_atom_site_occupancy
Pr1 0.0000 0.0000 0.0000 1
Y1 0.0000 0.0000 0.5000 1
Sc1 0.0000 0.0000 0.2497 1
Tl1 0.0000 0.0000 0.1269 1
Tl2 0.0000 0.0000 0.3771 1
```

(3)
## Sr2Cu5Ge4 (PBE)

Data for crystalline Sr2Cu5Ge4 at its relaxed geometry.

Output
The value obtained for the volume is 19.1 A^3/atom. The formation energy comes out at -0.20 eV per atom.

The structure in CIF format:
```
data_Sr2Cu5Ge4
_chemical_formula_sum 'Sr8 Cu20 Ge16'
_symmetry_space_group_name_H-M 'F m m m'
_symmetry_Int_Tables_number 69
_symmetry_space_group_name_Hall '-F 2 2'
_cell_length_a 5.702
_cell_length_b 10.241
_cell_length_c 14.392
_cell_angle_alpha 90.00
_cell_angle_beta 90.00
_cell_angle_gamma 90.00
loop_
_atom_site_label
_atom_site_fract_x
_atom_site_fract_y
_atom_site_fract_z
_atom_site_occupancy
Sr1 0.000 0.000 0.143 1
Cu1 0.000 0.000 0.500 1
Cu2 0.250 0.250 0.000 1
Cu3 0.250 0.250 0.250 1
Ge1 0.000 0.155 0.372 1
```

Number 1: spin magnetization 0.000 μB/atom. Number 2: spin magnetization 0.000 μB/atom. Number 3: spin magnetization 0.000 μB/atom.